[1]
VASP calculation (PBE) on a relaxed structure of Nb2InTc2.

Cell lengths 7.551, 7.551, 3.150 Å; angles 90.00, 90.00, 90.00 degrees
Space group P4/mbm (No. 127)
Asymmetric unit:
Nb 0.155 0.345 0.000 (multiplicity 4)
In 0.000 0.000 0.500 (multiplicity 2)
Tc 0.140 0.640 0.500 (multiplicity 4)

Relative energy among the computed polymorphs ... 0.000 eV/atom
N(E_F) ... 1.04 states/eV per atom
M_tot ... 0.00 μB/f.u.
Energy of formation ... 124.1 meV/atom

[2]
VASP calculation (PBE) on a relaxed structure of Nb2InTc2.

Cell lengths 4.040, 4.040, 12.278 Å; angles 90.00, 90.00, 90.00 degrees
Space group I4/mmm (No. 139)
Asymmetric unit:
Nb 0.000 0.000 0.119 (multiplicity 4)
In 0.000 0.000 0.500 (multiplicity 2)
Tc 0.000 0.500 0.250 (multiplicity 4)

Relative energy among the computed polymorphs ... 0.328 eV/atom
N(E_F) ... 1.37 states/eV per atom
M_tot ... 0.00 μB/f.u.
Energy of formation ... 452.1 meV/atom

[3]
VASP calculation (PBE) on a relaxed structure of NbIn2Tc2.

Cell lengths 6.627, 6.627, 4.371 Å; angles 90.00, 90.00, 90.00 degrees
Space group P4/mbm (No. 127)
Asymmetric unit:
Nb 0.000 0.000 0.000 (multiplicity 2)
In 0.174 0.326 0.500 (multiplicity 4)
Tc 0.131 0.631 0.000 (multiplicity 4)

N(E_F) ... 1.12 states/eV per atom
M_tot ... 0.00 μB/f.u.
Energy of formation ... 289.3 meV/atom

| no. | E (eV per atom) |
| --- | --- |
| 1 | -8.5978 |
| 2 | -8.2699 |
| 3 | -6.9664 |